PmReSi: relaxed, GGA-PBE.

Lattice parameters (Å, degrees): 5.6585 5.6585 5.6585 85.46 85.46 85.46
Fractional positions:
Pm 0.0000 0.2866 0.7134
Pm 0.2866 0.7134 0.0000
Pm 0.7134 0.0000 0.2866
Re 0.2469 0.2469 0.2469
Re 0.5000 0.5000 0.5000
Re 0.7531 0.7531 0.7531
Si 0.1683 0.8317 0.5000
Si 0.5000 0.1683 0.8317
Si 0.8317 0.5000 0.1683

Crystal system: trigonal
Uncorrected formation energy (eV/atom): -0.047
Magnetic moment (μB/f.u.): 0.00
Calculated total energy (eV per atom): -7.588

TeMoBr2: relaxed, GGA-PBE.

Lattice parameters (Å, degrees): 4.6659 4.6659 4.6575 90.00 90.00 90.00
Fractional positions:
Te 0.0000 0.0000 0.0000
Mo 0.5000 0.5000 0.0000
Br 0.0000 0.5000 0.5000
Br 0.5000 0.0000 0.5000

Crystal system: tetragonal
Uncorrected formation energy (eV/atom): 0.879
Relative energy among the computed polymorphs (eV/atom): 1.090
Magnetic moment (μB/f.u.): 3.55
Calculated total energy (eV per atom): -3.451

Ce3Sm5H12: relaxed, GGA-PBE.

Lattice parameters (Å, degrees): 11.6349 11.6349 11.6349 109.47 109.47 109.47
Fractional positions:
Ce 0.1250 0.2500 0.3750
Ce 0.1250 0.3750 0.7500
Ce 0.2500 0.3750 0.1250
Ce 0.2500 0.8750 0.6250
Ce 0.3750 0.1250 0.2500
Ce 0.3750 0.7500 0.1250
Ce 0.6250 0.2500 0.8750
Ce 0.6250 0.8750 0.7500
Ce 0.7500 0.1250 0.3750
Ce 0.7500 0.6250 0.8750
Ce 0.8750 0.6250 0.2500
Ce 0.8750 0.7500 0.6250
Sm 0.0000 0.0000 0.0000
Sm 0.0000 0.0000 0.5000
Sm 0.0000 0.5000 0.0000
Sm 0.0000 0.5000 0.5000
Sm 0.1250 0.7500 0.8750
Sm 0.1250 0.8750 0.2500
Sm 0.2500 0.1250 0.8750
Sm 0.2500 0.6250 0.3750
Sm 0.3750 0.2500 0.6250
Sm 0.3750 0.6250 0.7500
Sm 0.5000 0.0000 0.0000
Sm 0.5000 0.0000 0.5000
Sm 0.5000 0.5000 0.0000
Sm 0.5000 0.5000 0.5000
Sm 0.6250 0.3750 0.2500
Sm 0.6250 0.7500 0.3750
Sm 0.7500 0.3750 0.6250
Sm 0.7500 0.8750 0.1250
Sm 0.8750 0.1250 0.7500
Sm 0.8750 0.2500 0.1250
H 0.0689 0.2275 0.1507
H 0.0689 0.3414 0.9182
H 0.0768 0.7275 0.6586
H 0.0768 0.8493 0.4182
H 0.0818 0.6507 0.4232
H 0.0818 0.9311 0.6586
H 0.1507 0.0689 0.2275
H 0.1507 0.5818 0.9232
H 0.1586 0.2275 0.5768
H 0.1586 0.4311 0.5818
H 0.2275 0.1507 0.0689
H 0.2275 0.5768 0.1586
H 0.2725 0.3414 0.9232
H 0.2725 0.4311 0.3493
H 0.3414 0.9182 0.0689
H 0.3414 0.9232 0.2725
H 0.3493 0.2725 0.4311
H 0.3493 0.5768 0.9182
H 0.4182 0.0768 0.8493
H 0.4182 0.8414 0.5689
H 0.4232 0.0818 0.6507
H 0.4232 0.8414 0.7725
H 0.4311 0.3493 0.2725
H 0.4311 0.5818 0.1586
H 0.5689 0.4182 0.8414
H 0.5689 0.6507 0.7275
H 0.5768 0.1586 0.2275
H 0.5768 0.9182 0.3493
H 0.5818 0.1586 0.4311
H 0.5818 0.9232 0.1507
H 0.6507 0.4232 0.0818
H 0.6507 0.7275 0.5689
H 0.6586 0.0768 0.7275
H 0.6586 0.0818 0.9311
H 0.7275 0.5689 0.6507
H 0.7275 0.6586 0.0768
H 0.7725 0.4232 0.8414
H 0.7725 0.8493 0.9311
H 0.8414 0.5689 0.4182
H 0.8414 0.7725 0.4232
H 0.8493 0.4182 0.0768
H 0.8493 0.9311 0.7725
H 0.9182 0.0689 0.3414
H 0.9182 0.3493 0.5768
H 0.9232 0.1507 0.5818
H 0.9232 0.2725 0.3414
H 0.9311 0.6586 0.0818
H 0.9311 0.7725 0.8493

Crystal system: cubic
Magnetic moment (μB/f.u.): 2.59
Calculated total energy (eV per atom): -4.499

CsTe2AsP: relaxed, GGA-PBE.

Lattice parameters (Å, degrees): 5.6910 5.6910 4.8889 90.00 90.00 90.00
Fractional positions:
Cs 0.0000 0.0000 0.0000
Te 0.0000 0.5000 0.5000
Te 0.5000 0.0000 0.5000
As 0.5000 0.5000 0.0000
P 0.5000 0.5000 0.5000

Crystal system: tetragonal
Uncorrected formation energy (eV/atom): 0.093
Magnetic moment (μB/f.u.): 0.00
Calculated total energy (eV per atom): -3.347

RbIr2Pb: relaxed, GGA-PBE.

Lattice parameters (Å, degrees): 8.0648 8.0648 6.0975 90.00 90.00 90.00
Fractional positions:
Rb 0.0000 0.0000 0.0000
Rb 0.0000 0.5000 0.2500
Rb 0.5000 0.0000 0.7500
Rb 0.5000 0.5000 0.5000
Ir 0.1987 0.2500 0.6250
Ir 0.2500 0.6987 0.8750
Ir 0.2500 0.8013 0.3750
Ir 0.3013 0.2500 0.1250
Ir 0.6987 0.7500 0.1250
Ir 0.7500 0.1987 0.3750
Ir 0.7500 0.3013 0.8750
Ir 0.8013 0.7500 0.6250
Pb 0.0000 0.0000 0.5000
Pb 0.0000 0.5000 0.7500
Pb 0.5000 0.0000 0.2500
Pb 0.5000 0.5000 0.0000

Crystal system: tetragonal
Energy of formation (eV/atom): 1.21
Magnetic moment (μB/f.u.): 0.00
Calculated total energy (eV per atom): -4.392

HoScAg: relaxed, GGA-PBE.

Lattice parameters (Å, degrees): 4.8740 12.1520 4.9169 90.00 90.00 90.00
Fractional positions:
Ho 0.0000 0.0986 0.2500
Ho 0.0000 0.9014 0.7500
Ho 0.5000 0.4014 0.7500
Ho 0.5000 0.5986 0.2500
Sc 0.0000 0.4011 0.2500
Sc 0.0000 0.5989 0.7500
Sc 0.5000 0.0989 0.7500
Sc 0.5000 0.9011 0.2500
Ag 0.0000 0.2458 0.7500
Ag 0.0000 0.7542 0.2500
Ag 0.5000 0.2542 0.2500
Ag 0.5000 0.7458 0.7500

Crystal system: orthorhombic
Energy of formation (eV/atom): -0.15
Relative energy among the computed polymorphs (eV/atom): 0.006
Magnetic moment (μB/f.u.): 0.87
Calculated total energy (eV per atom): -4.734

Sr5AlIn4: relaxed, GGA-PBE.

Lattice parameters (Å, degrees): 4.0725 4.0725 20.0133 90.00 90.00 90.00
Fractional positions:
Sr 0.0000 0.0000 0.0000
Sr 0.0000 0.0000 0.2030
Sr 0.0000 0.0000 0.4052
Sr 0.0000 0.0000 0.5948
Sr 0.0000 0.0000 0.7970
Al 0.5000 0.5000 0.5000
In 0.5000 0.5000 0.1013
In 0.5000 0.5000 0.3047
In 0.5000 0.5000 0.6953
In 0.5000 0.5000 0.8987

Crystal system: tetragonal
Energy of formation (eV/atom): -0.36
Magnetic moment (μB/f.u.): 0.00
Calculated total energy (eV per atom): -2.671

CoSbHI2: relaxed, GGA-PBE.

Lattice parameters (Å, degrees): 5.5162 5.5162 4.7194 90.00 90.00 90.00
Fractional positions:
Co 0.0000 0.0000 0.0000
Sb 0.0000 0.0000 0.5000
H 0.5000 0.5000 0.5000
I 0.0000 0.5000 0.0000
I 0.5000 0.0000 0.0000

Crystal system: tetragonal
Relative energy among the computed polymorphs (eV/atom): 0.000
Magnetic moment (μB/f.u.): 1.04
Calculated total energy (eV per atom): -2.855